Record 1
This record from the Alexandria database describes an optimized crystal structure of Ti3In2Ga. The functional is PBE.

Output
As for the density of states at the Fermi level: 0.8730 states/eV per atom. As for the symmetry: Cmmm (65). The theoretical density comes out at 6.79 g/cm³. As for the calculated formation energy: -22.3 kJ/mol of atoms.

Cell and atoms, written as CIF:
```
data_Ti3In2Ga
_chemical_formula_sum 'Ti3 In2 Ga1'
_symmetry_space_group_name_H-M 'P 1'
_symmetry_Int_Tables_number 1
_cell_length_a 6.546
_cell_length_b 6.546
_cell_length_c 4.194
_cell_angle_alpha 90.00
_cell_angle_beta 90.00
_cell_angle_gamma 142.91
loop_
_symmetry_equiv_pos_as_xyz
'x,y,z'
loop_
_atom_site_label
_atom_site_fract_x
_atom_site_fract_y
_atom_site_fract_z
Ti1 0.000 0.000 0.000
Ti2 0.338 0.662 0.000
Ti3 0.662 0.338 0.000
In1 0.164 0.836 0.500
In2 0.836 0.164 0.500
Ga1 0.500 0.500 0.500
```

Record 2
This record from the Alexandria database describes an optimized crystal structure of Ti5In2Ga2. The functional is PBE.

Output
As for the density of states at the Fermi level: 0.7699 states/eV per atom. As for the symmetry: Imma (74). The theoretical density comes out at 6.20 g/cm³. As for the calculated formation energy: -18.0 kJ/mol of atoms.

Cell and atoms, written as CIF:
```
data_Ti5In2Ga2
_chemical_formula_sum 'Ti10 In4 Ga4'
_symmetry_space_group_name_H-M 'P 1'
_symmetry_Int_Tables_number 1
_cell_length_a 9.220
_cell_length_b 9.220
_cell_length_c 9.220
_cell_angle_alpha 146.96
_cell_angle_beta 61.53
_cell_angle_gamma 129.67
loop_
_symmetry_equiv_pos_as_xyz
'x,y,z'
loop_
_atom_site_label
_atom_site_fract_x
_atom_site_fract_y
_atom_site_fract_z
Ti1 0.152 0.000 0.652
Ti2 0.152 0.500 0.152
Ti3 0.273 0.107 0.166
Ti4 0.275 0.525 0.750
Ti5 0.441 0.107 0.334
Ti6 0.559 0.893 0.666
Ti7 0.725 0.475 0.250
Ti8 0.727 0.893 0.834
Ti9 0.848 0.000 0.348
Ti10 0.848 0.500 0.848
In1 0.169 0.593 0.575
In2 0.482 0.407 0.075
In3 0.518 0.593 0.925
In4 0.831 0.407 0.425
Ga1 0.000 0.000 0.000
Ga2 0.072 0.822 0.250
Ga3 0.500 0.000 0.500
Ga4 0.928 0.178 0.750
```

Record 3
This record from the Alexandria database describes an optimized crystal structure of Ti6InGa2. The functional is PBE.

Output
As for the density of states at the Fermi level: 1.1995 states/eV per atom. As for the symmetry: Immm (71). The energy above the most stable polymorph in this dataset comes out at 165 meV/atom. The theoretical density comes out at 5.78 g/cm³. As for the calculated formation energy: -8.6 kJ/mol of atoms.

Cell and atoms, written as CIF:
```
data_Ti6InGa2
_chemical_formula_sum 'Ti6 In1 Ga2'
_symmetry_space_group_name_H-M 'P 1'
_symmetry_Int_Tables_number 1
_cell_length_a 8.205
_cell_length_b 8.205
_cell_length_c 8.205
_cell_angle_alpha 160.40
_cell_angle_beta 122.56
_cell_angle_gamma 61.30
loop_
_symmetry_equiv_pos_as_xyz
'x,y,z'
loop_
_atom_site_label
_atom_site_fract_x
_atom_site_fract_y
_atom_site_fract_z
Ti1 0.142 0.827 0.315
Ti2 0.160 0.000 0.160
Ti3 0.488 0.173 0.315
Ti4 0.512 0.827 0.685
Ti5 0.840 0.000 0.840
Ti6 0.858 0.173 0.685
In1 0.500 0.500 0.000
Ga1 0.153 0.653 0.500
Ga2 0.847 0.347 0.500
```